18
Lattice="4.9126 0.0000 0.0000 0.0000 4.9126 0.0000 0.0000 0.0000 9.7631" Properties=species:S:1:pos:R:3 comment="CaUMnO6 PBE with a Hubbard U relaxed" sg="P4_2nm, No. 102" total_energy_ev_per_cell=-145.73 vol_a3_per_cell=235.6 pbc="T T T"
Ca 0.0000 0.0000 0.0000
Ca 2.4563 2.4563 4.8816
U 0.0000 0.0000 6.4757
U 2.4563 2.4563 1.5941
Mn 0.0000 0.0000 3.2044
Mn 2.4563 2.4563 8.0860
O 0.8494 0.8494 4.7490
O 0.9775 0.9775 1.8231
O 1.0537 1.0537 7.9310
O 1.4026 3.5100 3.0495
O 1.4788 3.4338 6.7047
O 1.6069 3.3057 9.6306
O 3.3057 1.6069 9.6306
O 3.4338 1.4788 6.7047
O 3.5100 1.4026 3.0495
O 3.8589 3.8589 7.9310
O 3.9351 3.9351 1.8231
O 4.0632 4.0632 4.7490